one:
Pu2UIn: optimized geometry, PBE-GGA.

Properties
Theoretical density ... 12.953 Mg/m³
Total magnetic moment ... 8.31 μB/f.u.

abc: 3.6657 3.6657 9.5017
angles: 78.88 78.88 60.00
Last column: nearest neighbours and their distance in Å.
Atoms (fractional coordinates):
In 0.0000 0.0000 0.0000  2 Pu 3.15
U 0.5000 0.5000 0.5000  6 Pu 2.58
Pu 0.1134 0.1134 0.6599  3 U 2.58
Pu 0.8866 0.8866 0.3401  3 U 2.58



two:
Pu2UIn: optimized geometry, PBE-GGA.

Properties
Theoretical density ... 13.750 Mg/m³
Total magnetic moment ... 14.50 μB/f.u.

abc: 4.6586 4.6688 4.6688
angles: 90.00 90.00 90.00
Last column: nearest neighbours and their distance in Å.
Atoms (fractional coordinates):
In 0.5000 0.0000 0.0000  8 Pu 3.30, 4 U 3.30
U 0.5000 0.5000 0.5000  8 Pu 3.30, 4 In 3.30
Pu 0.0000 0.0000 0.5000  4 In 3.30, 4 U 3.30, 4 Pu 3.30
Pu 0.0000 0.5000 0.0000  4 In 3.30, 4 U 3.30, 4 Pu 3.30



Most stable structure - two; separation to the second - 433 meV per atom.